Entry 1:
{
  "formula": "Zr3CrS",
  "functional": "PBE-GGA",
  "state": "optimized geometry",
  "cell": [[-2.0186, 4.3330, 0.5864], [-1.5375, -1.3080, 4.3725], [4.0932, 1.6455, 1.9316]],
  "species": ["Cr", "S", "Zr", "Zr", "Zr"],
  "fractional_positions": [[0.5000, 0.5000, 0.5000], [0.0000, 0.0000, 0.0000], [0.0000, 0.5000, 0.0000], [0.0000, 0.0000, 0.5000], [0.5000, 0.0000, 0.0000]],
  "relative_energy_mev_per_atom": 0.0,
  "m_tot_mub_per_atom": 0.708,
  "raw_formation_energy_ev_per_atom": -0.18,
  "spacegroup": "Pm-3m, No. 221"
}

Entry 2:
{
  "formula": "Ca3SbP2Rh9",
  "functional": "PBE-GGA",
  "state": "optimized geometry",
  "cell": [[6.1110, 0.0000, 0.0000], [-3.0555, 5.2923, 0.0000], [0.0000, 0.0000, 9.0616]],
  "species": ["Ca", "Ca", "Ca", "Sb", "P", "P", "Rh", "Rh", "Rh", "Rh", "Rh", "Rh", "Rh", "Rh", "Rh"],
  "fractional_positions": [[0.3333, 0.6667, 0.6896], [0.0000, 0.0000, 0.0000], [0.6667, 0.3333, 0.3104], [0.0000, 0.0000, 0.5000], [0.3333, 0.6667, 0.1596], [0.6667, 0.3333, 0.8404], [0.8506, 0.1494, 0.7306], [0.8506, 0.7012, 0.7306], [0.2988, 0.1494, 0.7306], [0.7012, 0.8506, 0.2694], [0.1494, 0.2988, 0.2694], [0.1494, 0.8506, 0.2694], [0.5000, 0.0000, 0.0000], [0.0000, 0.5000, 0.0000], [0.5000, 0.5000, 0.0000]],
  "m_tot_mub_per_atom": 0.000,
  "raw_formation_energy_ev_per_atom": -0.47,
  "spacegroup": "P-3m1, No. 164"
}

> Number 2 is which compound?

Ca3SbP2Rh9

> Which formula does entry 1 have?

Zr3CrS

Repeat the first record exactly.
{
  "formula": "Zr3CrS",
  "functional": "PBE-GGA",
  "state": "optimized geometry",
  "cell": [[-2.0186, 4.3330, 0.5864], [-1.5375, -1.3080, 4.3725], [4.0932, 1.6455, 1.9316]],
  "species": ["Cr", "S", "Zr", "Zr", "Zr"],
  "fractional_positions": [[0.5000, 0.5000, 0.5000], [0.0000, 0.0000, 0.0000], [0.0000, 0.5000, 0.0000], [0.0000, 0.0000, 0.5000], [0.5000, 0.0000, 0.0000]],
  "relative_energy_mev_per_atom": 0.0,
  "m_tot_mub_per_atom": 0.708,
  "raw_formation_energy_ev_per_atom": -0.18,
  "spacegroup": "Pm-3m, No. 221"
}